Entry 1:
K2RbBiF (PBE-GGA, relaxed); space group = No. 123; formation energy from raw total energies = -1.2321 eV per atom
1.0
5.501 0.000 0.000
0.000 5.501 0.000
0.000 0.000 5.680
K Rb Bi F
2 1 1 1
direct
0.000 0.500 0.000
0.500 0.000 0.000
0.000 0.000 0.500
0.500 0.500 0.500
0.000 0.000 0.000

***

Entry 2:
Nd4Cd2Ge (PBE-GGA, relaxed); energy relative to the elements = -165 kJ/mol of formula units; space group = No. 166
1.0
2.668 1.540 8.616
-2.668 1.540 8.616
0.000 -3.081 8.616
Nd Cd Ge
4 2 1
direct
0.122 0.122 0.122
0.375 0.375 0.375
0.625 0.625 0.625
0.878 0.878 0.878
0.246 0.246 0.246
0.754 0.754 0.754
0.000 0.000 0.000

***

Entry 3:
NbIn3Cu (PBE-GGA, relaxed); energy above the most stable polymorph in this dataset = 0 kJ/mol of formula units; energy relative to the elements = 363 kJ/mol of formula units; space group = No. 221
1.0
4.919 0.000 0.000
0.000 4.919 0.000
0.000 0.000 4.919
Nb In Cu
1 3 1
direct
0.000 0.000 0.000
0.000 0.500 0.500
0.500 0.000 0.500
0.500 0.500 0.000
0.500 0.500 0.500

***

| no. | calculated volume (Å³/cell) |
| --- | --- |
| 1 | 172 |
| 2 | 212 |
| 3 | 119 |